A plane-wave DFT calculation with GGA-PBE was carried out for RbVBiSe4 after structural relaxation.

Cell lengths 6.8872, 7.3212, 9.4583 Å; angles 90.00, 108.37, 90.00 degrees
Space group P2_1/m (No. 11)
Inequivalent atoms, fractional coordinates:
Rb 0.2266 0.2500 0.4308
V 0.2913 0.7500 0.1815
Bi 0.2641 0.2500 0.9597
Se 0.0759 0.7500 0.3282
Se 0.0799 0.7500 0.9344
Se 0.4893 0.9996 0.7908

## Properties
M_tot = 0.14 μB per atom
Raw formation energy = -0.6606 eV per atom